## Li4Mn3Ni2Sb3O16 (PBE with a Hubbard U)

Data for an optimized crystal structure of Li4Mn3Ni2Sb3O16.

```
Li4Mn3Ni2Sb3O16
1.0
5.425 -3.006 0.000
5.425 3.006 0.000
-0.307 0.000 9.779
Li Mn Ni Sb O
4 3 2 3 16
Direct
0.000 0.000 0.000
0.033 0.033 0.521
0.345 0.345 0.634
0.678 0.678 0.108
0.178 0.178 0.291
0.339 0.833 0.795
0.833 0.339 0.795
0.325 0.325 0.998
0.666 0.666 0.531
0.178 0.673 0.294
0.673 0.178 0.294
0.830 0.830 0.789
0.043 0.492 0.184
0.145 0.672 0.909
0.153 0.153 0.905
0.324 0.854 0.398
0.361 0.361 0.413
0.491 0.491 0.174
0.492 0.043 0.184
0.525 0.974 0.663
0.527 0.527 0.678
0.672 0.145 0.909
0.672 0.672 0.902
0.854 0.324 0.398
0.862 0.862 0.409
0.974 0.525 0.663
0.995 0.995 0.184
0.997 0.997 0.698
```

Calculated values
The total energy is -6.091 eV/atom. As for the total magnetization: 16.00 Bohr magnetons per cell. Its symmetry is No. 8.